## P
CsNaTl2Pt | PBE-GGA | relaxed

Output
N(E_F): 2.34 states/eV per cell
space-group type: No. 123

Unit cell a=5.382 b=5.382 c=5.886 alpha=90.00 beta=90.00 gamma=90.00
Fractional positions:
Cs (0.000, 0.000, 0.000)
Na (0.500, 0.500, 0.000)
Tl (0.000, 0.500, 0.500)
Tl (0.500, 0.000, 0.500)
Pt (0.500, 0.500, 0.500)

=====

## Q
CsNaTl2Pt | PBE-GGA | relaxed

Output
N(E_F): 2.38 states/eV per cell
space-group type: No. 123

Unit cell a=5.414 b=5.414 c=6.564 alpha=90.00 beta=90.00 gamma=90.00
Fractional positions:
Cs (0.000, 0.000, 0.000)
Na (0.500, 0.500, 0.000)
Tl (0.000, 0.500, 0.500)
Tl (0.500, 0.000, 0.500)
Pt (0.000, 0.000, 0.500)

=====

Structures ranked by computed energy, the most stable listed first: P, Q.

=====

## P
Cs3RbNa3 | PBE-GGA | relaxed

Output
N(E_F): 11.98 states/eV per cell
space-group type: No. 11

Unit cell a=14.656 b=6.066 c=14.710 alpha=90.00 beta=119.88 gamma=90.00
Fractional positions:
Cs (0.055, 0.250, 0.172)
Cs (0.327, 0.250, 0.882)
Cs (0.383, 0.750, 0.555)
Cs (0.617, 0.250, 0.445)
Cs (0.673, 0.750, 0.118)
Cs (0.945, 0.750, 0.828)
Rb (0.333, 0.750, 0.166)
Rb (0.667, 0.250, 0.834)
Na (0.023, 0.750, 0.372)
Na (0.128, 0.750, 0.650)
Na (0.152, 0.250, 0.523)
Na (0.848, 0.750, 0.477)
Na (0.872, 0.250, 0.350)
Na (0.977, 0.250, 0.628)

=====

## Q
Cs3RbNa3 | PBE-GGA | relaxed

Output
N(E_F): 12.02 states/eV per cell
space-group type: No. 223

Unit cell a=11.533 b=11.533 c=11.533 alpha=90.00 beta=90.00 gamma=90.00
Fractional positions:
Cs (0.000, 0.250, 0.500)
Cs (0.000, 0.750, 0.500)
Cs (0.250, 0.500, 0.000)
Cs (0.500, 0.000, 0.250)
Cs (0.500, 0.000, 0.750)
Cs (0.750, 0.500, 0.000)
Rb (0.000, 0.000, 0.000)
Rb (0.500, 0.500, 0.500)
Na (0.000, 0.500, 0.250)
Na (0.000, 0.500, 0.750)
Na (0.250, 0.000, 0.500)
Na (0.500, 0.250, 0.000)
Na (0.500, 0.750, 0.000)
Na (0.750, 0.000, 0.500)

=====

Structures ranked by computed energy, the most stable listed first: P, Q.

=====

## P
Cs2Rb4Na | PBE-GGA | relaxed

Output
N(E_F): 11.92 states/eV per cell
space-group type: No. 11

Unit cell a=8.450 b=9.099 c=16.790 alpha=90.00 beta=98.39 gamma=90.00
Fractional positions:
Cs (0.149, 0.250, 0.476)
Cs (0.263, 0.750, 0.043)
Cs (0.737, 0.250, 0.957)
Cs (0.851, 0.750, 0.524)
Rb (0.185, 0.009, 0.776)
Rb (0.185, 0.491, 0.776)
Rb (0.298, 0.250, 0.168)
Rb (0.347, 0.750, 0.347)
Rb (0.653, 0.250, 0.653)
Rb (0.702, 0.750, 0.832)
Rb (0.815, 0.509, 0.224)
Rb (0.815, 0.991, 0.224)
Na (0.382, 0.750, 0.601)
Na (0.618, 0.250, 0.399)

=====

## Q
Cs2Rb4Na | PBE-GGA | relaxed

Output
N(E_F): 5.81 states/eV per cell
space-group type: No. 139

Unit cell a=13.432 b=13.432 c=13.432 alpha=147.34 beta=147.34 gamma=46.86
Fractional positions:
Cs (0.138, 0.138, 0.000)
Cs (0.862, 0.862, 0.000)
Rb (0.000, 0.500, 0.500)
Rb (0.335, 0.335, 0.000)
Rb (0.500, 0.000, 0.500)
Rb (0.665, 0.665, 0.000)
Na (0.500, 0.500, 0.000)

=====

Structures ranked by computed energy, the most stable listed first: P, Q.